VASP calculation (GGA-PBE) on an optimized crystal structure of Tm8NiTe4P3.

Values from the calculation:
DFT total energy, eV/cell: -273.329
Total magnetic moment, μB per formula unit: 0.00
Formation energy without anion corrections, meV per atom: -1297.5

Unit cell a=8.1547 b=8.1547 c=20.7709 alpha=90.00 beta=90.00 gamma=120.00
Space group R-3m (No. 166, hexagonal axes)
Asymmetric unit:
Tm1 0.0000 0.0000 0.2364
Tm2 0.0075 0.5038 0.2360
Ni1 0.0000 0.0000 0.5000
Te1 0.0000 0.0000 0.0000
Te2 0.0000 0.5000 0.0000
P1 0.0000 0.5000 0.5000